(1)
Be5Cu after structural relaxation, computed with PBE-GGA.

Its magnetization is 0.00 μB/atom. The formation energy is -5.5 kJ per mole of atoms. Its electronic total energy is -23.066 eV per formula unit.

The space group is P-62m (No. 189) and the conventional cell measures 4.0309, 4.0309 and 3.6643 Å, with angles of 90.00, 90.00 and 120.00 degrees. The distinct sites, in fractional coordinates, are Be at (0.0000, 0.6448, 0.0000), Be at (0.3333, 0.6667, 0.5000) and Cu at (0.0000, 0.0000, 0.5000).

***

(2)
TcSnP2O8 after structural relaxation, computed with PBE-GGA.

Its magnetization is 0.25 μB/atom. Its electronic total energy is -86.633 eV per formula unit.

The space group is C2/m (No. 12) and the conventional cell measures 8.2275, 5.2927 and 7.4796 Å, with angles of 90.00, 91.15 and 90.00 degrees. The distinct sites, in fractional coordinates, are Tc at (0.0000, 0.0000, 0.0000), Sn at (0.0000, 0.0000, 0.5000), P at (0.1421, 0.5000, 0.7820), O at (0.0304, 0.2591, 0.8012), O at (0.2119, 0.5000, 0.5956) and O at (0.2362, 0.0000, 0.0590).